Computed, not measured: Y4HoCd after structural relaxation at the GGA-PBE level of DFT.

Geometry as POSCAR:
```
Y4HoCd
1.0
3.582 0.000 0.000
0.000 3.582 0.000
0.000 0.000 14.167
Y Ho Cd
4 1 1
Direct
0.000 0.000 0.145
0.000 0.000 0.855
0.500 0.500 0.325
0.500 0.500 0.675
0.000 0.000 0.500
0.500 0.500 0.000
```

**Energy above the lowest structure with this stoichiometry**: 0.00 eV per formula unit
**Total DFT energy (no corrections)**: -31.934 eV per cell
**Energy relative to the elements**: -98 meV/atom

=====

Computed, not measured: Y4Ho5Cd after structural relaxation at the GGA-PBE level of DFT.

Geometry as POSCAR:
```
Y4Ho5Cd
1.0
-5.290 5.290 2.858
5.290 -5.290 2.858
5.290 5.290 -2.858
Y Ho Cd
4 5 1
Direct
0.000 0.319 0.319
0.000 0.681 0.681
0.319 0.000 0.319
0.681 0.000 0.681
0.324 0.324 0.631
0.324 0.692 0.000
0.692 0.324 0.000
0.692 0.692 0.369
0.799 0.799 0.000
0.279 0.279 0.000
```

**Energy above the lowest structure with this stoichiometry**: 1.73 eV per formula unit
**Total DFT energy (no corrections)**: -48.364 eV per cell
**Energy relative to the elements**: 130 meV/atom

=====

Computed, not measured: YHo2Cd after structural relaxation at the GGA-PBE level of DFT.

Geometry as POSCAR:
```
YHo2Cd
1.0
1.802 1.040 10.677
-1.802 1.040 10.677
0.000 -2.081 10.677
Y Ho Cd
1 2 1
Direct
0.000 0.000 0.000
0.244 0.244 0.244
0.423 0.423 0.423
0.833 0.833 0.833
```

**Energy above the lowest structure with this stoichiometry**: 0.37 eV per formula unit
**Total DFT energy (no corrections)**: -16.798 eV per cell
**Energy relative to the elements**: -66 meV/atom

=====

Computed, not measured: YHo2Cd after structural relaxation at the GGA-PBE level of DFT.

Geometry as POSCAR:
```
YHo2Cd
1.0
-1.892 2.679 5.699
1.892 -2.679 5.699
1.892 2.679 -5.699
Y Ho Cd
1 2 1
Direct
0.000 0.000 0.000
0.277 0.777 0.500
0.723 0.223 0.500
0.500 0.500 0.000
```

**Energy above the lowest structure with this stoichiometry**: 0.00 eV per formula unit
**Total DFT energy (no corrections)**: -17.167 eV per cell
**Energy relative to the elements**: -158 meV/atom

=====

Computed, not measured: YHoCd14 after structural relaxation at the GGA-PBE level of DFT.

Geometry as POSCAR:
```
YHoCd14
1.0
6.588 0.000 0.000
0.000 6.588 0.000
0.000 0.000 8.510
Y Ho Cd
1 1 14
Direct
0.000 0.000 0.000
0.500 0.500 0.000
0.000 0.000 0.500
0.000 0.500 0.000
0.000 0.500 0.500
0.251 0.251 0.258
0.251 0.251 0.742
0.251 0.749 0.258
0.251 0.749 0.742
0.500 0.000 0.000
0.500 0.000 0.500
0.500 0.500 0.500
0.749 0.251 0.258
0.749 0.251 0.742
0.749 0.749 0.258
0.749 0.749 0.742
```

**Total DFT energy (no corrections)**: -26.069 eV per cell
**Energy relative to the elements**: -138 meV/atom

=====

Computed, not measured: Y6HoCd2 after structural relaxation at the GGA-PBE level of DFT.

Geometry as POSCAR:
```
Y6HoCd2
1.0
6.341 -1.870 0.000
6.341 1.870 0.000
-3.819 0.000 11.300
Y Ho Cd
6 1 2
Direct
0.017 0.017 0.337
0.313 0.313 0.415
0.315 0.315 0.123
0.685 0.685 0.877
0.687 0.687 0.585
0.983 0.983 0.663
0.000 0.000 0.000
0.354 0.354 0.795
0.646 0.646 0.205
```

**Total DFT energy (no corrections)**: -46.440 eV per cell
**Energy relative to the elements**: -139 meV/atom